#i
! GGA-PBE LaNdScZn, relaxed; values from VASP
! Symmetry   No. 99
&SYSTEM
  ibrav = 0, nat = 4, ntyp = 4
/
ATOMIC_SPECIES
La 138.91 La.upf
Zn 65.41 Zn.upf
Nd 144.24 Nd.upf
Sc 44.96 Sc.upf
CELL_PARAMETERS angstrom
-2.3553 0.6831 -2.5891
1.1205 -2.8802 -1.7793
-5.8839 -4.8114 4.0831
ATOMIC_POSITIONS crystal
La 0.0000 0.0000 0.0955
Zn 0.0000 0.0000 0.5387
Nd 0.5000 0.5000 0.7741
Sc 0.5000 0.5000 0.3763

#ii
! GGA-PBE LaNdScZn, relaxed; values from VASP
! Symmetry   No. 216
&SYSTEM
  ibrav = 0, nat = 4, ntyp = 4
/
ATOMIC_SPECIES
Sc 44.96 Sc.upf
La 138.91 La.upf
Nd 144.24 Nd.upf
Zn 65.41 Zn.upf
CELL_PARAMETERS angstrom
5.3864 0.0000 0.0000
2.6932 4.6647 0.0000
2.6932 1.5549 4.3980
ATOMIC_POSITIONS crystal
Sc 0.5000 0.5000 0.5000
La 0.2500 0.2500 0.2500
Nd 0.7500 0.7500 0.7500
Zn 0.0000 0.0000 0.0000

Each structure's energy above the most stable one, in meV per atom: #i 0; #ii 113.

#i
! GGA-PBE La4Nd3Se8, relaxed; values from VASP
! Symmetry   No. 12
&SYSTEM
  ibrav = 0, nat = 15, ntyp = 3
/
ATOMIC_SPECIES
Nd 144.24 Nd.upf
La 138.91 La.upf
Se 78.96 Se.upf
CELL_PARAMETERS angstrom
8.5626 -0.1210 -0.1738
-4.1781 7.4414 0.1273
-4.1781 -2.4639 7.0228
ATOMIC_POSITIONS crystal
Nd 0.5000 0.5000 0.5000
La 0.0000 0.0000 0.0000
Se 0.4938 0.7454 0.7454
La 0.0000 0.5000 0.0000
Se 0.5062 0.2546 0.2546
Nd 0.5000 0.5000 0.0000
Se 0.0000 0.2527 0.7473
Se 0.0034 0.2539 0.2539
Se 0.9966 0.7461 0.7461
La 0.0000 0.0000 0.5000
Se 0.5000 0.7486 0.2514
Nd 0.5000 0.0000 0.5000
Se 0.0000 0.7473 0.2527
Se 0.5000 0.2514 0.7486
La 0.5000 0.0000 0.0000

#ii
! GGA-PBE La4Nd3Se8, relaxed; values from VASP
! Symmetry   No. 166
&SYSTEM
  ibrav = 0, nat = 15, ntyp = 3
/
ATOMIC_SPECIES
La 138.91 La.upf
Nd 144.24 Nd.upf
Se 78.96 Se.upf
CELL_PARAMETERS angstrom
7.3689 0.0000 3.9742
2.6127 6.8901 3.9742
-0.2164 -0.1494 9.2199
ATOMIC_POSITIONS crystal
La 0.6471 0.6471 0.0588
Nd 0.5000 0.0000 0.5000
Se 0.2493 0.7596 0.7419
La 0.3529 0.3529 0.9412
La 0.5000 0.5000 0.5000
La 0.0000 0.0000 0.0000
Se 0.2404 0.7507 0.2581
Nd 0.0000 0.0000 0.5000
Se 0.7507 0.2404 0.2581
Se 0.2329 0.2329 0.3013
Nd 0.0000 0.5000 0.5000
Se 0.2493 0.2493 0.7419
Se 0.7507 0.7507 0.2581
Se 0.7671 0.7671 0.6987
Se 0.7596 0.2493 0.7419

Each structure's energy above the most stable one, in meV per atom: #i 0; #ii 229.

#i
! GGA-PBE LaNd2Se, relaxed; values from VASP
! Symmetry   No. 166
&SYSTEM
  ibrav = 0, nat = 4, ntyp = 3
/
ATOMIC_SPECIES
La 138.91 La.upf
Se 78.96 Se.upf
Nd 144.24 Nd.upf
CELL_PARAMETERS angstrom
-0.8377 0.2843 3.8271
0.2522 -3.1696 2.3064
9.2290 1.1739 3.9487
ATOMIC_POSITIONS crystal
La 0.5000 0.5000 0.5000
Se 0.0000 0.0000 0.0000
Nd 0.7315 0.7315 0.8055
Nd 0.2685 0.2685 0.1945

#ii
! GGA-PBE LaNd2Se, relaxed; values from VASP
! Symmetry   No. 160
&SYSTEM
  ibrav = 0, nat = 4, ntyp = 3
/
ATOMIC_SPECIES
La 138.91 La.upf
Nd 144.24 Nd.upf
Se 78.96 Se.upf
CELL_PARAMETERS angstrom
-1.0811 -3.3549 -1.7981
2.2443 -3.2407 0.3434
-4.6448 -4.8407 7.4707
ATOMIC_POSITIONS crystal
La 0.4996 0.4996 0.5012
Nd 0.2694 0.2694 0.1919
Nd 0.0641 0.0641 0.8077
Se 0.6669 0.6669 0.9992

Each structure's energy above the most stable one, in meV per atom: #i 0; #ii 5.

#i
! GGA-PBE LaNd2Si2, relaxed; values from VASP
! Symmetry   No. 127
&SYSTEM
  ibrav = 0, nat = 10, ntyp = 3
/
ATOMIC_SPECIES
La 138.91 La.upf
Nd 144.24 Nd.upf
Si 28.09 Si.upf
CELL_PARAMETERS angstrom
-2.7055 -2.3877 -2.3478
-3.9152 -1.9793 6.5247
-4.6982 6.2358 -0.9275
ATOMIC_POSITIONS crystal
La 0.0000 0.5000 0.5000
Nd 0.5000 0.8241 0.3241
Nd 0.5000 0.6759 0.8241
Si 0.0000 0.6098 0.1098
La 0.0000 0.0000 0.0000
Nd 0.5000 0.3241 0.1759
Si 0.0000 0.1098 0.3902
Si 0.0000 0.8902 0.6098
Si 0.0000 0.3902 0.8902
Nd 0.5000 0.1759 0.6759

#ii
! GGA-PBE LaNd2Si2, relaxed; values from VASP
! Symmetry   No. 12
&SYSTEM
  ibrav = 0, nat = 10, ntyp = 3
/
ATOMIC_SPECIES
Nd 144.24 Nd.upf
Si 28.09 Si.upf
La 138.91 La.upf
CELL_PARAMETERS angstrom
-0.7970 -3.4676 -2.7491
-2.1150 -5.2234 3.5246
-9.8347 0.3876 -1.3147
ATOMIC_POSITIONS crystal
Nd 0.6845 0.7197 0.9114
Si 0.8928 0.6543 0.5601
Si 0.0338 0.8400 0.0923
Nd 0.4879 0.3388 0.6853
Si 0.9662 0.1600 0.9077
Nd 0.5121 0.6612 0.3147
Nd 0.3155 0.2803 0.0886
Si 0.1072 0.3457 0.4399
La 0.7851 0.0793 0.3504
La 0.2149 0.9207 0.6496

Each structure's energy above the most stable one, in meV per atom: #i 0; #ii 81.

#i
! GGA-PBE LaNdZnSi, relaxed; values from VASP
! Symmetry   No. 216
&SYSTEM
  ibrav = 0, nat = 4, ntyp = 4
/
ATOMIC_SPECIES
Zn 65.41 Zn.upf
Si 28.09 Si.upf
La 138.91 La.upf
Nd 144.24 Nd.upf
CELL_PARAMETERS angstrom
-3.1503 3.6170 -2.0352
-3.8866 1.9739 2.8543
0.2493 4.9220 1.6916
ATOMIC_POSITIONS crystal
Zn 0.2500 0.2500 0.2500
Si 0.7500 0.7500 0.7500
La 0.0000 0.0000 0.0000
Nd 0.5000 0.5000 0.5000

#ii
! GGA-PBE LaNdZnSi, relaxed; values from VASP
! Symmetry   No. 38
&SYSTEM
  ibrav = 0, nat = 4, ntyp = 4
/
ATOMIC_SPECIES
La 138.91 La.upf
Nd 144.24 Nd.upf
Si 28.09 Si.upf
Zn 65.41 Zn.upf
CELL_PARAMETERS angstrom
4.3685 0.0000 0.0000
0.0000 4.1593 0.0000
-2.1842 0.0000 5.6911
ATOMIC_POSITIONS crystal
La 0.8529 0.5000 0.7059
Nd 0.1405 0.0000 0.2810
Si 0.5693 0.5000 0.1386
Zn 0.4373 0.0000 0.8745

Each structure's energy above the most stable one, in meV per atom: #i 74; #ii 0.

#i
! GGA-PBE La3Nd2Sm4, relaxed; values from VASP
! Symmetry   No. 2
&SYSTEM
  ibrav = 0, nat = 9, ntyp = 3
/
ATOMIC_SPECIES
Sm 150.36 Sm.upf
La 138.91 La.upf
Nd 144.24 Nd.upf
CELL_PARAMETERS angstrom
6.3067 -0.4945 -0.7611
-3.2859 4.3445 -3.3115
-1.6646 -0.5409 13.1250
ATOMIC_POSITIONS crystal
Sm 0.3349 0.6664 0.9998
La 0.5552 0.1120 0.6672
Nd 0.2219 0.4448 0.6673
Nd 0.7781 0.5552 0.3327
La 0.0000 0.0000 0.0000
Sm 0.8901 0.7795 0.6670
Sm 0.6651 0.3336 0.0002
Sm 0.1099 0.2205 0.3330
La 0.4448 0.8880 0.3328

#ii
! GGA-PBE La3Nd2Sm4, relaxed; values from VASP
! Symmetry   No. 156
&SYSTEM
  ibrav = 0, nat = 9, ntyp = 3
/
ATOMIC_SPECIES
Sm 150.36 Sm.upf
Nd 144.24 Nd.upf
La 138.91 La.upf
CELL_PARAMETERS angstrom
3.6685 0.0000 0.0000
-1.8343 3.1770 0.0000
0.0000 0.0000 27.5226
ATOMIC_POSITIONS crystal
Sm 0.6667 0.3333 0.4363
Nd 0.6667 0.3333 0.0924
La 0.6667 0.3333 0.6522
Sm 0.0000 0.0000 0.5406
Nd 0.6667 0.3333 0.8693
Sm 0.6667 0.3333 0.2162
Sm 0.0000 0.0000 0.7632
La 0.0000 0.0000 0.3225
La 0.0000 0.0000 0.9844

Each structure's energy above the most stable one, in meV per atom: #i 0; #ii 45.

#i
! GGA-PBE La7Nd3Sm2, relaxed; values from VASP
! Symmetry   No. 10
&SYSTEM
  ibrav = 0, nat = 12, ntyp = 3
/
ATOMIC_SPECIES
Nd 144.24 Nd.upf
Sm 150.36 Sm.upf
La 138.91 La.upf
CELL_PARAMETERS angstrom
3.6586 0.0000 0.0000
0.0000 6.0529 -0.3056
0.0000 -3.9139 19.7764
ATOMIC_POSITIONS crystal
Nd 0.0000 0.8554 0.6353
Nd 0.0000 0.1446 0.3647
Sm 0.5000 0.4124 0.7028
La 0.5000 0.9998 0.1809
La 0.5000 0.7221 0.4658
Sm 0.5000 0.5876 0.2972
La 0.0000 0.5318 0.8540
Nd 0.5000 0.5000 0.0000
La 0.0000 0.0000 0.0000
La 0.0000 0.4682 0.1460
La 0.5000 0.0002 0.8191
La 0.5000 0.2779 0.5342

#ii
! GGA-PBE La7Nd3Sm2, relaxed; values from VASP
! Symmetry   No. 10
&SYSTEM
  ibrav = 0, nat = 12, ntyp = 3
/
ATOMIC_SPECIES
La 138.91 La.upf
Nd 144.24 Nd.upf
Sm 150.36 Sm.upf
CELL_PARAMETERS angstrom
3.6224 0.0000 0.0000
0.0000 6.5687 0.8112
0.0000 2.5458 18.4401
ATOMIC_POSITIONS crystal
La 0.5000 0.7692 0.4912
La 0.5000 0.2308 0.5088
Nd 0.5000 0.5000 0.0000
La 0.0000 0.4419 0.8325
Nd 0.0000 0.1174 0.3365
Sm 0.5000 0.6095 0.3312
Nd 0.0000 0.8826 0.6635
La 0.5000 0.0510 0.1706
La 0.0000 0.0000 0.0000
La 0.0000 0.5581 0.1675
La 0.5000 0.9490 0.8294
Sm 0.5000 0.3905 0.6688

Each structure's energy above the most stable one, in meV per atom: #i 18; #ii 0.

#i
! GGA-PBE LaNd5Sm4, relaxed; values from VASP
! Symmetry   No. 12
&SYSTEM
  ibrav = 0, nat = 10, ntyp = 3
/
ATOMIC_SPECIES
Sm 150.36 Sm.upf
Nd 144.24 Nd.upf
La 138.91 La.upf
CELL_PARAMETERS angstrom
3.4209 0.0000 -0.8424
-0.3263 6.8451 -1.3248
1.7352 0.9887 14.4130
ATOMIC_POSITIONS crystal
Sm 0.3918 0.1938 0.7836
Nd 0.7945 0.8978 0.5891
Nd 0.5000 0.5000 0.0000
Sm 0.9054 0.6958 0.8108
La 0.5000 0.0000 0.0000
Nd 0.7988 0.4005 0.5976
Nd 0.2012 0.5995 0.4024
Sm 0.6082 0.8062 0.2164
Sm 0.0946 0.3042 0.1892
Nd 0.2055 0.1022 0.4109

#ii
! GGA-PBE LaNd5Sm4, relaxed; values from VASP
! Symmetry   No. 79
&SYSTEM
  ibrav = 0, nat = 10, ntyp = 3
/
ATOMIC_SPECIES
Nd 144.24 Nd.upf
Sm 150.36 Sm.upf
La 138.91 La.upf
CELL_PARAMETERS angstrom
-3.2739 -0.6106 5.4575
4.4167 -2.9535 6.0641
0.3051 6.5702 4.6630
ATOMIC_POSITIONS crystal
Nd 0.7228 0.0697 0.3811
Nd 0.7924 0.3811 0.9303
Sm 0.1087 0.3046 0.3862
Nd 0.6806 0.0000 0.0000
La 0.2209 0.0000 0.0000
Nd 0.1038 0.6189 0.0697
Sm 0.4133 0.3862 0.6954
Sm 0.7995 0.6954 0.6138
Sm 0.4949 0.6138 0.3046
Nd 0.1735 0.9303 0.6189

Each structure's energy above the most stable one, in meV per atom: #i 0; #ii 109.